{"formula": "CsCrSe2", "functional": "PBE-GGA", "state": "optimized geometry", "lattice_angstrom": [[7.773, 0.000, -0.130], [2.786, 6.512, -2.695], [-2.786, 6.512, 2.695]], "species": ["Se", "Cs", "Cr", "Cr", "Se", "Se", "Se", "Cs"], "frac_coords": [[0.091, 0.191, 0.008], [0.250, 0.101, 0.601], [0.250, 0.750, 0.250], [0.750, 0.250, 0.750], [0.909, 0.809, 0.992], [0.591, 0.492, 0.309], [0.409, 0.508, 0.691], [0.750, 0.899, 0.399]], "sg": "C2/c, No. 15", "formation_energy_uncorrected_kj_per_mol_fu": -294, "total_energy_ev_per_atom": -5.1223}